(1)
An optimized crystal structure of Pr3Sn3Sb2O12, computed with PBE.

Cell lengths 11.751, 11.751, 11.751 Å; angles 109.47, 109.47, 109.47 degrees
Sites, in units of the cell vectors:
O  0.178  0.458  0.591
O  0.220  0.587  0.178
O  0.867  0.958  0.780
Sb  0.500  0.000  0.500
O  0.720  0.678  0.087
O  0.587  0.909  0.367
Pr  0.375  0.750  0.125
Pr  0.375  0.125  0.250
Pr  0.250  0.875  0.625
O  0.413  0.822  0.780
O  0.133  0.042  0.220
O  0.413  0.091  0.633
Pr  0.875  0.625  0.250
Sb  0.500  0.500  0.500
O  0.322  0.913  0.280
Pr  0.750  0.625  0.875
Sb  0.000  0.000  0.000
Pr  0.125  0.375  0.750
Pr  0.250  0.375  0.125
Sn  0.875  0.250  0.125
Pr  0.625  0.250  0.875
O  0.091  0.633  0.413
Sb  0.000  0.500  0.500
O  0.591  0.913  0.133
O  0.280  0.458  0.367
O  0.822  0.542  0.409
O  0.458  0.367  0.280
O  0.409  0.087  0.867
O  0.913  0.133  0.591
Sb  0.500  0.000  0.000
Sn  0.125  0.875  0.250
O  0.909  0.367  0.587
O  0.087  0.867  0.409
Sn  0.625  0.750  0.375
O  0.458  0.591  0.178
O  0.958  0.678  0.091
Pr  0.625  0.875  0.750
Sb  0.500  0.500  0.000
Sn  0.250  0.125  0.875
O  0.780  0.867  0.958
O  0.678  0.091  0.958
O  0.409  0.822  0.542
O  0.087  0.720  0.678
O  0.542  0.633  0.720
O  0.591  0.178  0.458
Sn  0.875  0.125  0.750
O  0.780  0.413  0.822
O  0.909  0.042  0.322
Pr  0.125  0.250  0.375
O  0.322  0.909  0.042
Sn  0.750  0.375  0.625
Pr  0.750  0.125  0.375
O  0.720  0.542  0.633
Sn  0.250  0.625  0.375
O  0.178  0.220  0.587
Sb  0.000  0.500  0.000
O  0.958  0.780  0.867
Sn  0.125  0.750  0.875
Sn  0.375  0.625  0.750
O  0.367  0.587  0.909
O  0.220  0.133  0.042
O  0.633  0.720  0.542
O  0.633  0.413  0.091
Sn  0.375  0.250  0.625
O  0.280  0.322  0.913
O  0.822  0.780  0.413
O  0.587  0.178  0.220
Sb  0.000  0.000  0.500
O  0.042  0.322  0.909
Pr  0.875  0.750  0.625
O  0.678  0.087  0.720
Sn  0.750  0.875  0.125
O  0.913  0.280  0.322
O  0.091  0.958  0.678
O  0.867  0.409  0.087
O  0.042  0.220  0.133
O  0.367  0.280  0.458
O  0.133  0.591  0.913
Sn  0.625  0.375  0.250
O  0.542  0.409  0.822

Values from the calculation:
- space group = Ia-3d (230)
- uncorrected energy (eV per cell) = -528.9

(2)
An optimized crystal structure of Pr4Sc4O11, computed with PBE.

Cell lengths 5.614, 5.785, 8.032 Å; angles 90.16, 89.91, 90.30 degrees
Sites, in units of the cell vectors:
Sc  0.499  0.998  0.999
Sc  0.498  0.000  0.499
O  0.198  0.201  0.555
Sc  0.006  0.500  0.000
O  0.402  0.968  0.248
O  0.796  0.796  0.447
O  0.301  0.701  0.944
O  0.604  0.039  0.750
O  0.699  0.299  0.442
O  0.103  0.463  0.249
O  0.798  0.795  0.056
Pr  0.516  0.555  0.249
Pr  0.011  0.948  0.752
O  0.205  0.203  0.946
O  0.294  0.705  0.556
Pr  0.989  0.048  0.254
Pr  0.486  0.447  0.747
O  0.895  0.535  0.751
Sc  0.999  0.500  0.500

Values from the calculation:
- space group = P1 (1)
- uncorrected energy (eV per cell) = -161.8

(3)
An optimized crystal structure of Pr4Sc4O11, computed with PBE.

Cell lengths 5.610, 5.790, 8.017 Å; angles 90.00, 90.00, 89.90 degrees
Sites, in units of the cell vectors:
Pr  0.524  0.553  0.250
O  0.399  0.964  0.250
Sc  0.500  0.001  0.001
Pr  0.990  0.043  0.250
O  0.701  0.299  0.054
O  0.798  0.799  0.051
O  0.894  0.539  0.750
O  0.198  0.203  0.948
O  0.798  0.799  0.449
O  0.602  0.039  0.750
Sc  0.500  0.001  0.499
Sc  0.998  0.499  0.999
Pr  0.485  0.449  0.750
Pr  0.012  0.947  0.750
O  0.701  0.299  0.446
O  0.298  0.701  0.946
Sc  0.998  0.499  0.501
O  0.298  0.701  0.554
O  0.198  0.203  0.552

Values from the calculation:
- space group = Pm (6)
- uncorrected energy (eV per cell) = -161.8

(4)
An optimized crystal structure of Pr3Sc2Sn3O12, computed with PBE.

Cell lengths 11.478, 11.478, 11.478 Å; angles 109.47, 109.47, 109.47 degrees
Last column: magnetic moment on the atom in μB.
Sites, in units of the cell vectors:
Sn  0.125  0.875  0.250  0.08
Sn  0.250  0.625  0.375  0.07
O  0.293  0.331  0.919  0.03
Sc  0.500  0.000  0.500  0.01
O  0.419  0.831  0.793  0.03
Pr  0.375  0.750  0.125  0.01
Sc  0.500  0.500  0.000  0.01
Sn  0.250  0.125  0.875  0.07
O  0.581  0.912  0.375  0.03
O  0.537  0.625  0.707  0.04
O  0.169  0.207  0.581  0.04
Sc  0.500  0.000  0.000  0.01
O  0.793  0.875  0.963  0.03
O  0.831  0.537  0.412  0.04
O  0.037  0.331  0.912  0.04
Pr  0.875  0.625  0.250  0.01
O  0.919  0.125  0.588  0.03
O  0.207  0.581  0.169  0.03
O  0.125  0.037  0.207  0.03
O  0.793  0.419  0.831  0.03
Sn  0.375  0.250  0.625  0.08
Sn  0.625  0.750  0.375  0.08
O  0.581  0.169  0.207  0.03
Pr  0.250  0.375  0.125  0.01
O  0.537  0.412  0.831  0.04
O  0.207  0.125  0.037  0.03
O  0.588  0.169  0.463  0.03
O  0.588  0.919  0.125  0.03
O  0.669  0.081  0.707  0.03
Sn  0.750  0.375  0.625  0.07
O  0.625  0.419  0.088  0.03
Pr  0.125  0.250  0.375  0.01
O  0.912  0.375  0.581  0.03
O  0.875  0.963  0.793  0.03
O  0.669  0.088  0.963  0.03
O  0.331  0.919  0.293  0.03
O  0.375  0.293  0.463  0.03
O  0.912  0.037  0.331  0.03
O  0.419  0.088  0.625  0.03
O  0.088  0.963  0.669  0.03
O  0.037  0.207  0.125  0.03
Sc  0.000  0.000  0.000  0.01
O  0.963  0.669  0.088  0.04
Sn  0.875  0.250  0.125  0.07
Pr  0.375  0.125  0.250  0.01
Sc  0.000  0.000  0.500  0.01
O  0.412  0.081  0.875  0.03
Pr  0.750  0.125  0.375  0.01
Sn  0.125  0.750  0.875  0.07
O  0.125  0.588  0.919  0.03
O  0.169  0.463  0.588  0.04
O  0.919  0.293  0.331  0.03
O  0.463  0.588  0.169  0.04
O  0.331  0.912  0.037  0.03
Sn  0.375  0.625  0.750  0.08
Sc  0.500  0.500  0.500  0.01
Sn  0.875  0.125  0.750  0.08
O  0.625  0.707  0.537  0.03
O  0.707  0.669  0.081  0.03
O  0.293  0.463  0.375  0.03
Pr  0.625  0.875  0.750  0.01
O  0.463  0.375  0.293  0.04
Sc  0.000  0.500  0.500  0.02
Pr  0.250  0.875  0.625  0.01
Pr  0.625  0.250  0.875  0.01
Sc  0.000  0.500  0.000  0.01
O  0.831  0.793  0.419  0.04
Sn  0.750  0.875  0.125  0.07
O  0.963  0.793  0.875  0.03
O  0.412  0.831  0.537  0.03
O  0.088  0.625  0.419  0.03
O  0.875  0.412  0.081  0.03
Pr  0.125  0.375  0.750  0.01
Pr  0.875  0.750  0.625  0.01
O  0.081  0.875  0.412  0.03
O  0.375  0.581  0.912  0.03
O  0.707  0.537  0.625  0.03
Sn  0.625  0.375  0.250  0.08
O  0.081  0.707  0.669  0.03
Pr  0.750  0.625  0.875  0.01

Values from the calculation:
- space group = Ia-3d (230)
- uncorrected energy (eV per cell) = -596.0

(5)
An optimized crystal structure of SrPr2Sc2O7, computed with PBE.

Cell lengths 4.037, 4.037, 10.668 Å; angles 100.89, 100.89, 90.10 degrees
Sites, in units of the cell vectors:
O  0.000  0.000  0.000
O  0.609  0.109  0.217
Sr  0.500  0.500  0.000
O  0.793  0.793  0.585
O  0.391  0.891  0.783
Pr  0.318  0.318  0.635
Pr  0.682  0.682  0.365
Sc  0.099  0.099  0.197
O  0.891  0.391  0.783
O  0.109  0.609  0.217
Sc  0.901  0.901  0.803
O  0.207  0.207  0.415

Values from the calculation:
- space group = Fmmm (69)
- uncorrected energy (eV per cell) = -98.0

(6)
An optimized crystal structure of Pr4Si2Se3O7, computed with PBE.

Cell lengths 11.261, 11.261, 11.261 Å; angles 114.57, 114.57, 99.70 degrees
Sites, in units of the cell vectors:
O  0.307  0.284  0.259
O  0.266  0.266  0.000
O  0.034  0.557  0.759
O  0.716  0.693  0.741
O  0.026  0.284  0.977
Pr  0.540  0.780  0.240
O  0.307  0.048  0.023
Pr  0.220  0.460  0.760
O  0.026  0.048  0.741
Se  0.000  0.000  0.000
Si  0.655  0.031  0.624
O  0.952  0.974  0.259
Se  0.750  0.250  0.500
O  0.521  0.295  0.226
Pr  0.699  0.460  0.240
O  0.734  0.734  0.000
Se  0.229  0.125  0.604
O  0.229  0.955  0.274
Pr  0.210  0.470  0.260
O  0.680  0.955  0.726
Si  0.969  0.345  0.376
O  0.952  0.693  0.977
Pr  0.051  0.790  0.260
Pr  0.172  0.172  0.345
Si  0.969  0.593  0.624
Pr  0.210  0.949  0.740
Se  0.250  0.750  0.500
Se  0.375  0.771  0.896
Pr  0.922  0.422  0.845
Pr  0.578  0.078  0.155
O  0.443  0.966  0.241
O  0.798  0.557  0.523
O  0.045  0.320  0.274
O  0.016  0.516  0.500
O  0.798  0.276  0.241
Si  0.781  0.657  0.876
Pr  0.828  0.172  0.000
O  0.705  0.930  0.226
O  0.045  0.771  0.726
O  0.443  0.202  0.477
O  0.705  0.479  0.774
Se  0.500  0.500  0.000
Se  0.375  0.479  0.604
Se  0.521  0.625  0.396
Si  0.095  0.219  0.876
Se  0.229  0.625  0.104
Se  0.875  0.771  0.396
O  0.070  0.295  0.774
O  0.034  0.276  0.477
Pr  0.578  0.422  0.500
Si  0.407  0.031  0.376
O  0.724  0.966  0.523
Pr  0.922  0.078  0.500
Pr  0.530  0.790  0.740
Pr  0.540  0.301  0.760
Pr  0.172  0.828  0.000
Se  0.875  0.479  0.104
Si  0.343  0.219  0.124
Si  0.781  0.905  0.124
O  0.724  0.202  0.759
O  0.484  0.984  0.500
Se  0.521  0.125  0.896
Pr  0.828  0.828  0.655
O  0.716  0.974  0.023

Values from the calculation:
- space group = I4_1/amd (141)
- uncorrected energy (eV per cell) = -478.4